Record 1
This record from Alexandria via LeMat-Bulk describes a relaxed Cs2MgVSe4 crystal. The functional is GGA-PBE.

Cell lengths 6.1820, 14.6821, 26.0497 Å; angles 90.00, 90.00, 90.00 degrees
Last column: nearest neighbours and their distance in Å.
Space group Fddd (No. 70, origin choice 2)
One atom of each set of equivalent atoms:
Cs1 0.1250 0.1250 0.3028  8 Se 3.76-4.02
Mg1 0.1250 0.1250 0.1250  4 Se 2.57
V1 0.1250 0.1250 0.6250  4 Se 2.37
Se1 0.0989 0.2815 0.8234  1 V 2.37, 1 Mg 2.57

Crystal system: orthorhombic
Total magnetization: 0.125 μB per atom
E: -4.37 eV/atom
Formation energy (no corrections): -1079 meV per atom

---

Record 2
This record from Alexandria via LeMat-Bulk describes a relaxed TiMnV2 crystal. The functional is GGA-PBE.

Cell lengths 6.6623, 6.6623, 5.1343 Å; angles 90.00, 90.00, 90.00 degrees
Last column: nearest neighbours and their distance in Å.
Space group I-42d (No. 122)
One atom of each set of equivalent atoms:
Ti1 0.0000 0.0000 0.0000  2 Mn 2.57, 4 V 2.62
Mn1 0.0000 0.0000 0.5000  4 V 2.28
V1 0.2125 0.7500 0.6250  2 Mn 2.28

Crystal system: tetragonal
Total magnetization: 0.000 μB per atom
E: -8.50 eV/atom
Energy of formation: 328 meV per atom

---

Record 3
This record from Alexandria via LeMat-Bulk describes a relaxed DyHo2Pb crystal. The functional is GGA-PBE.

Cell lengths 4.8410, 4.8410, 4.8328 Å; angles 90.00, 90.00, 90.00 degrees
Last column: nearest neighbours and their distance in Å.
Space group P4/mmm (No. 123)
One atom of each set of equivalent atoms:
Dy1 0.0000 0.0000 0.0000  8 Ho 3.42, 4 Pb 3.42
Ho1 0.0000 0.5000 0.5000  4 Pb 3.42, 4 Dy 3.42, 4 Ho 3.42
Pb1 0.5000 0.5000 0.0000  8 Ho 3.42, 4 Dy 3.42

Crystal system: tetragonal
Total magnetization: 0.001 μB per atom
E: -4.64 eV/atom
Energy of formation: -271 meV per atom